NiMoPd: relaxed, GGA-PBE.

Calculated values
The energy of formation is 23 meV/atom. The space-group type is Pm. The excess energy over the best structure of this formula in the dataset is 0.24 eV per formula unit.

```
6
Lattice="2.685 0.000 -0.006 0.000 4.433 0.000 -1.339 0.000 7.038" Properties=species:S:1:pos:R:3 pbc="T T T"
Mo -1.059 2.216 6.729
Mo 1.611 2.216 2.224
Pd 1.621 0.000 0.668
Pd 1.619 0.000 5.191
Ni 0.274 0.000 2.969
Ni 0.277 2.216 4.416
```

***

K2Sb2Au: relaxed, GGA-PBE.

Calculated values
The space-group type is C2/m. For the total energy, the calculation gives -3.123 eV/atom.

```
10
Lattice="5.004 0.000 0.000 2.502 6.069 -0.011 2.502 0.316 10.468" Properties=species:S:1:pos:R:3 pbc="T T T"
K 7.507 2.014 9.257
K 5.004 4.313 7.153
K 5.004 2.072 3.304
K 2.502 4.371 1.199
Sb 2.502 0.790 1.183
Sb 7.507 4.627 4.769
Sb 2.502 1.757 5.688
Sb 7.507 5.595 9.274
Au 5.004 5.567 3.663
Au 5.004 0.818 6.793
```

***

Ca2PaCuTe5: relaxed, GGA-PBE.

Calculated values
The space-group type is Cmc2_1. For the total energy, the calculation gives -4.697 eV/atom.

```
18
Lattice="-1.297 -2.341 3.395 -0.693 -6.436 -7.456 12.593 -3.853 2.155" Properties=species:S:1:pos:R:3 pbc="T T T"
Te 9.608 -7.461 1.280
Te 3.674 -5.989 -2.726
Te 5.334 -5.333 1.114
Te -0.875 -5.418 -4.070
Te 9.123 -4.207 3.338
Te 2.149 -8.628 -5.128
Te 7.728 -7.128 -1.962
Te 1.035 -4.939 -0.258
Te 5.006 -10.176 -2.351
Te 0.452 -0.880 -0.434
Cu 4.437 -8.169 -3.938
Cu 11.023 -5.947 2.864
Ca 8.677 -10.273 -1.015
Ca 0.529 -7.903 -2.495
Ca 8.265 -4.174 0.280
Ca 3.779 -2.925 -0.573
Pa 5.051 -7.787 -0.687
Pa -0.308 -3.050 -2.221
```

***

Te5Pt: relaxed, GGA-PBE.

Calculated values
The space-group type is Cmmm. The excess energy over the best structure of this formula in the dataset is 0.12 eV per formula unit.

```
6
Lattice="7.932 -0.037 0.000 -6.859 3.984 0.000 0.000 0.000 6.102" Properties=species:S:1:pos:R:3 pbc="T T T"
Te -0.769 2.329 3.051
Te -0.349 2.214 0.000
Te 3.486 1.171 3.051
Te -6.037 3.761 3.051
Te 3.066 1.286 0.000
Pt -6.037 3.761 0.000
```

***

Ac2TlAg3: relaxed, GGA-PBE.

Calculated values
The energy of formation is -291 meV/atom. The space-group type is Fmmm. The excess energy over the best structure of this formula in the dataset is 0.00 eV per formula unit.

```
12
Lattice="-2.870 -2.234 -5.186 5.540 -3.071 0.017 -4.904 -3.758 7.322" Properties=species:S:1:pos:R:3 pbc="T T T"
Ag -1.177 -2.114 1.562
Ag -5.119 -5.157 2.650
Ag -1.375 -3.483 -3.132
Ag -0.859 -5.581 5.285
Ag -1.057 -6.950 0.591
Ag 2.885 -3.907 -0.497
Tl 0.148 -4.785 -1.009
Tl -2.382 -4.279 3.162
Ac 0.985 -4.741 2.377
Ac -3.220 -4.323 -0.224
Ac 0.653 -1.298 -1.264
Ac 2.017 -4.008 -3.905
```

***

LiCu2Se2: relaxed, GGA-PBE.

Calculated values
The space-group type is C2/c. For the total energy, the calculation gives -3.799 eV/atom.

```
10
Lattice="6.268 0.329 0.060 -0.980 6.199 0.060 -2.299 -2.838 4.859" Properties=species:S:1:pos:R:3 pbc="T T T"
Cu 3.292 1.843 2.616
Cu -0.304 1.847 2.363
Cu 2.268 5.023 0.187
Cu 0.720 -1.333 4.792
Se 1.454 0.702 3.704
Se 4.731 0.398 1.275
Se 1.534 2.988 1.275
Se -1.743 3.292 3.704
Li 3.503 -0.957 3.704
Li -0.515 4.647 1.275
```

***

TaBe2Hg2: relaxed, GGA-PBE.

Calculated values
The energy of formation is 464 meV/atom. The space-group type is P4/mbm. The excess energy over the best structure of this formula in the dataset is 0.00 eV per formula unit.

```
10
Lattice="7.110 0.000 0.000 0.000 7.110 0.000 0.000 0.000 3.030" Properties=species:S:1:pos:R:3 pbc="T T T"
Be 2.620 6.175 0.000
Be 0.935 2.620 0.000
Be 4.490 0.935 0.000
Be 6.175 4.490 0.000
Ta 0.000 0.000 0.000
Ta 3.555 3.555 0.000
Hg 5.924 2.369 1.515
Hg 4.741 5.924 1.515
Hg 1.186 4.741 1.515
Hg 2.369 1.186 1.515
```